(1)
{"formula": "YGa2CoRu", "functional": "PBE", "state": "relaxed", "cell": [[4.2431, 0.0000, 0.0000], [0.0000, 4.2431, 0.0000], [-2.1215, -2.1215, 4.8254]], "species": ["Ga", "Y", "Co", "Ga", "Ru"], "frac_coords": [[0.3679, 0.3679, 0.7358], [0.0000, 0.0000, 0.0000], [0.2500, 0.7500, 0.5000], [0.6321, 0.6321, 0.2642], [0.7500, 0.2500, 0.5000]], "volume_a3_per_atom": 17.38, "dos_at_fermi_per_ev_atom": 0.617, "formation_enthalpy_0k_ev_per_atom": -0.41}

(2)
{"formula": "GaCo2S", "functional": "PBE", "state": "relaxed", "cell": [[5.2243, 0.0000, 0.0000], [0.0000, 5.2243, 0.0000], [2.6122, 2.6122, 4.9521]], "species": ["Co", "Co", "Co", "Ga", "S", "S", "Ga", "Co"], "frac_coords": [[0.1725, 0.6250, 0.2500], [0.5775, 0.1250, 0.2500], [0.8750, 0.8275, 0.7500], [0.0000, 0.0000, 0.0000], [0.5000, 0.5000, 0.0000], [0.2500, 0.7500, 0.5000], [0.7500, 0.2500, 0.5000], [0.3750, 0.4225, 0.7500]], "volume_a3_per_atom": 16.90, "dos_at_fermi_per_ev_atom": 1.085, "raw_formation_energy_ev_per_atom": 0.13}

Calculated total energy for every record listed, in sequence, given in eV/atom: -6.186 -5.210.